Entry 1:
GGA-PBE CaYSn, relaxed; total energy = -4.12 eV per atom; density = 3.87 g/cm3; formation energy from the elements = 0.09 eV per formula unit
1.0
3.5137 0.0000 0.0000
0.0000 3.5137 0.0000
0.0000 0.0000 17.2330
Ca Y Sn
2 2 2
direct
0.0000 0.0000 0.0000
0.5000 0.5000 0.5000
0.0000 0.0000 0.2034
0.5000 0.5000 0.7034
0.0000 0.0000 0.8206
0.5000 0.5000 0.3206

***

Entry 2:
GGA-PBE Li7B8C8, relaxed; energy above the lowest structure with this stoichiometry = 0 meV per atom; total energy = -6.43 eV per atom; density = 2.08 g/cm3; formation energy from the elements = -7.19 eV per formula unit
1.0
7.1374 -2.7372 0.0000
7.1374 2.7372 0.0000
-0.0084 0.0000 4.7276
Li B C
7 8 8
direct
0.0000 0.0000 0.0000
0.0000 0.5000 0.5000
0.2495 0.2495 0.9984
0.2586 0.7414 0.5000
0.5000 0.0000 0.5000
0.7414 0.2586 0.5000
0.7505 0.7505 0.0016
0.1263 0.1263 0.6640
0.1273 0.6236 0.8377
0.3736 0.3736 0.3342
0.3764 0.8727 0.1623
0.6236 0.1273 0.8377
0.6264 0.6264 0.6658
0.8727 0.3764 0.1623
0.8737 0.8737 0.3360
0.1220 0.6231 0.1697
0.1239 0.1239 0.3289
0.3730 0.3730 0.6675
0.3769 0.8780 0.8303
0.6231 0.1220 0.1697
0.6270 0.6270 0.3325
0.8761 0.8761 0.6711
0.8780 0.3769 0.8303

***

Entry 3:
GGA-PBE ThTcSn, relaxed; energy above the lowest structure with this stoichiometry = 49 meV per atom; total energy = -7.39 eV per atom; density = 10.35 g/cm3; formation energy from the elements = -0.38 eV per formula unit
1.0
4.7039 0.0000 0.0000
-2.3520 4.0737 0.0000
0.0000 0.0000 3.7585
Th Tc Sn
1 1 1
direct
0.0000 0.0000 0.0000
0.6667 0.3333 0.5000
0.3333 0.6667 0.5000

***

Entry 4:
GGA-PBE Ba3YMn, relaxed; energy above the lowest structure with this stoichiometry = 241 meV per atom; total energy = -3.22 eV per atom; density = 3.38 g/cm3; formation energy from the elements = 5.28 eV per formula unit
1.0
6.4854 0.0000 0.0000
0.0000 6.4854 0.0000
0.0000 0.0000 6.4854
Ba Y Mn
3 1 1
direct
0.0000 0.0000 0.5000
0.0000 0.5000 0.0000
0.5000 0.0000 0.0000
0.0000 0.0000 0.0000
0.5000 0.5000 0.5000

***

Entry 5:
GGA-PBE ZrTaPbAu2, relaxed; total energy = -5.09 eV per atom; density = 10.43 g/cm3; formation energy from the elements = 5.19 eV per formula unit
1.0
5.2669 0.0000 0.0000
0.0000 5.2669 0.0000
0.0000 0.0000 5.0141
Zr Ta Pb Au
1 1 1 2
direct
0.0000 0.0000 0.0000
0.0000 0.0000 0.5000
0.5000 0.5000 0.5000
0.0000 0.5000 0.0000
0.5000 0.0000 0.0000

***

Entry 6:
GGA-PBE GdTmAu2, relaxed; total energy = -7.14 eV per atom; density = 12.93 g/cm3; formation energy from the elements = -3.46 eV per formula unit
1.0
3.5609 0.0000 0.0000
0.0000 3.5609 0.0000
0.0000 0.0000 7.2957
Gd Tm Au
1 1 2
direct
0.0000 0.0000 0.0000
0.0000 0.0000 0.5000
0.5000 0.5000 0.2662
0.5000 0.5000 0.7338

***

Entry 7:
GGA-PBE DyCdSn4, relaxed; total energy = -3.69 eV per atom; density = 7.52 g/cm3; formation energy from the elements = -0.64 eV per formula unit
1.0
0.0000 4.3574 4.3574
4.3574 0.0000 4.3574
4.3574 4.3574 0.0000
Dy Cd Sn
1 1 4
direct
0.0000 0.0000 0.0000
0.7500 0.7500 0.7500
0.3749 0.3749 0.3749
0.3749 0.3749 0.8753
0.3749 0.8753 0.3749
0.8753 0.3749 0.3749

***

Entry 8:
GGA-PBE Na2PrSmSe4, relaxed; uncorrected formation energy = -1.6848 eV per atom; total energy = -4.94 eV per atom; density = 4.88 g/cm3
1.0
7.4037 0.0000 0.0000
0.0000 4.2753 0.0000
-2.4703 0.0000 7.0180
Na Pr Sm Se
2 1 1 4
direct
0.0000 0.0000 0.0000
0.5000 0.5000 0.0000
0.0000 0.5000 0.5000
0.5000 0.0000 0.5000
0.2498 0.0000 0.7368
0.2592 0.5000 0.2654
0.7408 0.5000 0.7346
0.7502 0.0000 0.2632

***

Record-wise spin magnetization values, in μB/cell: 0.0 0.0 0.0 4.3 0.0 7.1 0.0 0.0